Density functional theory data (PBEsol) for crystalline CdICl2 at its relaxed geometry.

The structure in CIF format:
```
data_CdICl2
_symmetry_space_group_name_H-M 'I -4 2 d'
_symmetry_Int_Tables_number 122
_symmetry_space_group_name_Hall 'I -4 2bw'
_cell_length_a 8.1923
_cell_length_b 8.1923
_cell_length_c 6.6100
_cell_angle_alpha 90.00
_cell_angle_beta 90.00
_cell_angle_gamma 90.00
loop_
_atom_site_label
_atom_site_type_symbol
_atom_site_fract_x
_atom_site_fract_y
_atom_site_fract_z
Cd1 Cd 0.0000 0.0000 0.0000
I1 I 0.0000 0.0000 0.5000
Cl1 Cl 0.1538 0.7500 0.1250
```

Values from the calculation:
DOS at the Fermi energy ... 4.47 states/eV/f.u.
Crystal system ... tetragonal
Total moment ... 0.912 μB per formula unit
ΔE_f (raw) ... -0.43 eV/atom
Total energy ... -2.174 eV/atom